Material: LaPm4Dy10
Method: DFT, PBE
State: optimized geometry

POSCAR file:
```
LaPm4Dy10
1.0
-4.926 4.926 5.421
4.926 -4.926 5.421
4.926 4.926 -5.421
La Pm Dy
1 4 10
direct
0.000 0.000 0.000 La
0.213 0.448 0.662 Pm
0.448 0.787 0.235 Pm
0.552 0.213 0.765 Pm
0.787 0.552 0.338 Pm
0.046 0.387 0.094 Dy
0.048 0.954 0.341 Dy
0.250 0.750 0.500 Dy
0.293 0.952 0.906 Dy
0.387 0.293 0.341 Dy
0.613 0.707 0.659 Dy
0.707 0.048 0.094 Dy
0.750 0.250 0.500 Dy
0.952 0.046 0.659 Dy
0.954 0.613 0.906 Dy
```

Properties
For the formation energy, the calculation gives 43.16 kJ per mole of atoms. As for the total moment: 0.000 μB per formula unit. The calculation puts the calculated density at 7397 kg/m³.

Material: LaPmDy
Method: DFT, PBE
State: optimized geometry

POSCAR file:
```
LaPmDy
1.0
-1.831 2.577 5.453
1.831 -2.577 5.453
1.831 2.577 -5.453
La Pm Dy
1 1 1
direct
0.000 0.000 0.000 La
0.668 0.668 0.000 Pm
0.332 0.332 0.000 Dy
```

Properties
For the formation energy, the calculation gives 2.10 kJ per mole of atoms. As for the total moment: 0.000 μB per formula unit. The calculation puts the energy relative to the lowest polymorph listed for this composition at 0.0084 eV/atom. The calculation puts the calculated density at 7201 kg/m³.

Material: LaPm4Dy4
Method: DFT, PBE
State: optimized geometry

POSCAR file:
```
LaPm4Dy4
1.0
6.264 0.000 0.000
1.048 9.509 0.000
3.130 2.394 10.105
La Pm Dy
2 8 8
direct
0.053 0.084 0.196 La
0.947 0.916 0.804 La
0.166 0.253 0.582 Pm
0.277 0.418 0.971 Pm
0.390 0.085 0.859 Pm
0.499 0.252 0.251 Pm
0.501 0.748 0.749 Pm
0.610 0.915 0.141 Pm
0.723 0.582 0.029 Pm
0.834 0.747 0.418 Pm
0.057 0.581 0.693 Dy
0.169 0.747 0.085 Dy
0.280 0.915 0.472 Dy
0.388 0.583 0.363 Dy
0.612 0.417 0.637 Dy
0.720 0.085 0.528 Dy
0.831 0.253 0.915 Dy
0.943 0.419 0.307 Dy
```

Properties
For the formation energy, the calculation gives 1.86 kJ per mole of atoms. As for the total moment: 0.000 μB per formula unit. The calculation puts the calculated density at 7552 kg/m³.

Material: LaPm7Dy2
Method: DFT, PBE
State: optimized geometry

POSCAR file:
```
LaPm7Dy2
1.0
4.465 -8.099 0.000
4.465 8.099 0.000
0.000 0.000 5.762
La Pm Dy
1 7 2
direct
0.000 0.000 0.000 La
0.062 0.296 0.500 Pm
0.228 0.772 0.000 Pm
0.296 0.062 0.500 Pm
0.500 0.500 0.500 Pm
0.704 0.938 0.500 Pm
0.772 0.228 0.000 Pm
0.938 0.704 0.500 Pm
0.297 0.703 0.500 Dy
0.703 0.297 0.500 Dy
```

Properties
For the formation energy, the calculation gives 61.75 kJ per mole of atoms. As for the total moment: 0.001 μB per formula unit. The calculation puts the energy relative to the lowest polymorph listed for this composition at 0.4491 eV/atom. The calculation puts the calculated density at 5894 kg/m³.

Material: LaPm14Dy
Method: DFT, PBE
State: optimized geometry

POSCAR file:
```
LaPm14Dy
1.0
10.318 0.000 0.000
0.000 5.167 5.166
0.000 -5.167 5.166
La Pm Dy
1 14 1
direct
0.000 0.000 0.000 La
0.000 0.000 0.500 Pm
0.000 0.500 0.000 Pm
0.250 0.251 0.251 Pm
0.250 0.251 0.748 Pm
0.250 0.748 0.251 Pm
0.250 0.748 0.748 Pm
0.500 0.000 0.000 Pm
0.500 0.000 0.499 Pm
0.500 0.499 0.000 Pm
0.500 0.500 0.500 Pm
0.750 0.251 0.251 Pm
0.750 0.251 0.748 Pm
0.750 0.748 0.251 Pm
0.750 0.748 0.748 Pm
0.000 0.500 0.500 Dy
```

Properties
For the formation energy, the calculation gives 1.35 kJ per mole of atoms. As for the total moment: 0.000 μB per formula unit. The calculation puts the calculated density at 7028 kg/m³.

Material: LaPm4Dy
Method: DFT, PBE
State: optimized geometry

POSCAR file:
```
LaPm4Dy
1.0
0.000 4.744 4.744
4.744 0.000 4.744
4.744 4.744 0.000
La Pm Dy
1 4 1
direct
0.000 0.000 0.000 La
0.128 0.624 0.624 Pm
0.624 0.128 0.624 Pm
0.624 0.624 0.128 Pm
0.624 0.624 0.624 Pm
0.250 0.250 0.250 Dy
```

Properties
For the formation energy, the calculation gives 23.98 kJ per mole of atoms. As for the total moment: 0.000 μB per formula unit. The calculation puts the energy relative to the lowest polymorph listed for this composition at 0.2284 eV/atom. The calculation puts the calculated density at 6854 kg/m³.

Material: La8Pm3Dy3
Method: DFT, PBE
State: optimized geometry

POSCAR file:
```
La8Pm3Dy3
1.0
-2.868 5.549 7.703
2.868 -5.549 7.703
2.868 5.549 -7.703
La Pm Dy
8 3 3
direct
0.055 0.393 0.662 La
0.075 0.231 0.844 La
0.269 0.607 0.662 La
0.387 0.231 0.156 La
0.613 0.769 0.844 La
0.731 0.393 0.338 La
0.925 0.769 0.156 La
0.945 0.607 0.338 La
0.000 0.000 0.000 Pm
0.303 0.000 0.303 Pm
0.697 0.000 0.697 Pm
0.323 0.823 0.500 Dy
0.500 0.500 0.000 Dy
0.677 0.177 0.500 Dy
```

Properties
For the formation energy, the calculation gives 9.63 kJ per mole of atoms. As for the total moment: 0.000 μB per formula unit. The calculation puts the calculated density at 6886 kg/m³.

Material: La3Pm4Dy
Method: DFT, PBE
State: optimized geometry

POSCAR file:
```
La3Pm4Dy
1.0
-1.778 5.983 6.667
1.778 -5.983 6.667
1.778 5.983 -6.667
La Pm Dy
3 4 1
direct
0.000 0.000 0.000 La
0.259 0.759 0.500 La
0.741 0.241 0.500 La
0.120 0.367 0.753 Pm
0.387 0.633 0.753 Pm
0.613 0.367 0.247 Pm
0.880 0.633 0.247 Pm
0.500 0.500 0.000 Dy
```

Properties
For the formation energy, the calculation gives 10.75 kJ per mole of atoms. As for the total moment: 0.000 μB per formula unit. The calculation puts the energy relative to the lowest polymorph listed for this composition at 0.0975 eV/atom. The calculation puts the calculated density at 6787 kg/m³.

Material: La5Pm4Dy
Method: DFT, PBE
State: optimized geometry

POSCAR file:
```
La5Pm4Dy
1.0
3.719 0.000 0.000
0.000 3.719 0.000
0.000 0.000 25.673
La Pm Dy
5 4 1
direct
0.000 0.000 0.000 La
0.000 0.000 0.202 La
0.000 0.000 0.403 La
0.000 0.000 0.597 La
0.000 0.000 0.798 La
0.500 0.500 0.101 Pm
0.500 0.500 0.303 Pm
0.500 0.500 0.697 Pm
0.500 0.500 0.899 Pm
0.500 0.500 0.500 Dy
```

Properties
For the formation energy, the calculation gives 1.93 kJ per mole of atoms. As for the total moment: 0.000 μB per formula unit. The calculation puts the energy relative to the lowest polymorph listed for this composition at 0.0000 eV/atom. The calculation puts the calculated density at 6719 kg/m³.

Material: La4Pm2Dy3
Method: DFT, PBE
State: optimized geometry

POSCAR file:
```
La4Pm2Dy3
1.0
3.645 0.000 0.000
-1.823 3.157 0.000
0.000 0.000 27.402
La Pm Dy
4 2 3
direct
0.000 0.000 0.000 La
0.000 0.000 0.214 La
0.333 0.667 0.331 La
0.333 0.667 0.546 La
0.000 0.000 0.660 Pm
0.000 0.000 0.869 Pm
0.000 0.000 0.438 Dy
0.333 0.667 0.106 Dy
0.333 0.667 0.766 Dy
```

Properties
For the formation energy, the calculation gives 5.68 kJ per mole of atoms. As for the total moment: 0.001 μB per formula unit. The calculation puts the energy relative to the lowest polymorph listed for this composition at 0.0359 eV/atom. The calculation puts the calculated density at 7021 kg/m³.

Material: La3Pm4Dy
Method: DFT, PBE
State: optimized geometry

POSCAR file:
```
La3Pm4Dy
1.0
7.344 0.000 0.000
0.000 10.404 0.000
0.000 0.000 7.314
La Pm Dy
6 8 2
direct
0.000 0.000 0.000 La
0.000 0.500 0.000 La
0.250 0.250 0.254 La
0.500 0.000 0.000 La
0.500 0.500 0.000 La
0.750 0.750 0.746 La
0.000 0.000 0.500 Pm
0.000 0.500 0.500 Pm
0.250 0.750 0.252 Pm
0.250 0.750 0.747 Pm
0.500 0.000 0.500 Pm
0.500 0.500 0.500 Pm
0.750 0.250 0.253 Pm
0.750 0.250 0.748 Pm
0.250 0.250 0.748 Dy
0.750 0.750 0.252 Dy
```

Properties
For the formation energy, the calculation gives 1.34 kJ per mole of atoms. As for the total moment: 0.000 μB per formula unit. The calculation puts the energy relative to the lowest polymorph listed for this composition at 0.0000 eV/atom. The calculation puts the calculated density at 6889 kg/m³.

Material: LaPm4Dy
Method: DFT, PBE
State: optimized geometry

POSCAR file:
```
LaPm4Dy
1.0
5.798 -2.943 0.000
5.798 2.943 0.000
-0.022 0.000 6.081
La Pm Dy
1 4 1
direct
0.000 0.000 0.000 La
0.179 0.179 0.551 Pm
0.324 0.324 0.052 Pm
0.676 0.676 0.948 Pm
0.821 0.821 0.449 Pm
0.500 0.500 0.500 Dy
```

Properties
For the formation energy, the calculation gives 9.87 kJ per mole of atoms. As for the total moment: 0.000 μB per formula unit. The calculation puts the energy relative to the lowest polymorph listed for this composition at 0.0822 eV/atom. The calculation puts the calculated density at 7053 kg/m³.

Material: LaPm2Dy
Method: DFT, PBE
State: optimized geometry

POSCAR file:
```
LaPm2Dy
1.0
6.393 0.000 0.000
0.000 5.882 0.000
0.000 0.000 14.750
La Pm Dy
4 8 4
direct
0.086 0.250 0.188 La
0.414 0.750 0.688 La
0.586 0.250 0.312 La
0.914 0.750 0.812 La
0.082 0.250 0.685 Pm
0.086 0.250 0.938 Pm
0.414 0.750 0.438 Pm
0.418 0.750 0.185 Pm
0.582 0.250 0.815 Pm
0.586 0.250 0.562 Pm
0.914 0.750 0.062 Pm
0.918 0.750 0.315 Pm
0.082 0.250 0.439 Dy
0.418 0.750 0.939 Dy
0.582 0.250 0.061 Dy
0.918 0.750 0.561 Dy
```

Properties
For the formation energy, the calculation gives 3.29 kJ per mole of atoms. As for the total moment: 0.000 μB per formula unit. The calculation puts the energy relative to the lowest polymorph listed for this composition at 0.0150 eV/atom. The calculation puts the calculated density at 7083 kg/m³.

Material: La2Pm8Dy
Method: DFT, PBE
State: optimized geometry

POSCAR file:
```
La2Pm8Dy
1.0
9.324 -2.591 0.000
9.324 2.591 0.000
-2.155 0.000 7.896
La Pm Dy
2 8 1
direct
0.227 0.227 0.137 La
0.773 0.773 0.863 La
0.044 0.044 0.229 Pm
0.135 0.135 0.677 Pm
0.319 0.319 0.592 Pm
0.410 0.410 0.048 Pm
0.590 0.590 0.952 Pm
0.681 0.681 0.408 Pm
0.865 0.865 0.323 Pm
0.956 0.956 0.771 Pm
0.500 0.500 0.500 Dy
```

Properties
For the formation energy, the calculation gives 1.73 kJ per mole of atoms. As for the total moment: 0.000 μB per formula unit. The calculation puts the energy relative to the lowest polymorph listed for this composition at 0.0000 eV/atom. The calculation puts the calculated density at 6966 kg/m³.

Material: La3PmDy4
Method: DFT, PBE
State: optimized geometry

POSCAR file:
```
La3PmDy4
1.0
11.688 0.000 0.000
0.000 7.348 0.000
0.000 0.000 6.366
La Pm Dy
6 2 8
direct
0.000 0.128 0.000 La
0.250 0.126 0.330 La
0.250 0.874 0.830 La
0.500 0.872 0.500 La
0.750 0.126 0.330 La
0.750 0.874 0.830 La
0.000 0.869 0.500 Pm
0.500 0.131 0.000 Pm
0.000 0.379 0.499 Dy
0.000 0.622 0.001 Dy
0.249 0.620 0.331 Dy
0.251 0.380 0.831 Dy
0.500 0.378 0.501 Dy
0.500 0.621 0.999 Dy
0.749 0.380 0.831 Dy
0.751 0.620 0.331 Dy
```

Properties
For the formation energy, the calculation gives 3.27 kJ per mole of atoms. As for the total moment: 0.001 μB per formula unit. The calculation puts the energy relative to the lowest polymorph listed for this composition at 0.0000 eV/atom. The calculation puts the calculated density at 7361 kg/m³.

Material: La2Pm8Dy3
Method: DFT, PBE
State: optimized geometry

POSCAR file:
```
La2Pm8Dy3
1.0
6.606 -5.958 0.000
6.606 5.958 0.000
-2.452 0.000 5.692
La Pm Dy
2 8 3
direct
0.204 0.204 0.349 La
0.796 0.796 0.651 La
0.066 0.066 0.775 Pm
0.082 0.584 0.332 Pm
0.351 0.351 0.943 Pm
0.416 0.918 0.668 Pm
0.584 0.082 0.332 Pm
0.649 0.649 0.057 Pm
0.918 0.416 0.668 Pm
0.934 0.934 0.225 Pm
0.250 0.750 0.000 Dy
0.500 0.500 0.500 Dy
0.750 0.250 0.000 Dy
```

Properties
For the formation energy, the calculation gives 15.96 kJ per mole of atoms. As for the total moment: 0.000 μB per formula unit. The calculation puts the energy relative to the lowest polymorph listed for this composition at 0.0000 eV/atom. The calculation puts the calculated density at 7134 kg/m³.

Material: La3Pm4Dy5
Method: DFT, PBE
State: optimized geometry

POSCAR file:
```
La3Pm4Dy5
1.0
6.285 0.000 0.000
0.013 7.256 0.000
0.019 0.025 8.908
La Pm Dy
3 4 5
direct
0.000 0.000 0.000 La
0.168 0.250 0.332 La
0.832 0.750 0.668 La
0.170 0.750 0.332 Pm
0.331 0.500 0.669 Pm
0.669 0.500 0.331 Pm
0.830 0.250 0.668 Pm
0.000 0.500 0.000 Dy
0.335 0.000 0.669 Dy
0.498 0.749 0.000 Dy
0.502 0.251 0.000 Dy
0.665 0.000 0.331 Dy
```

Properties
For the formation energy, the calculation gives 1.98 kJ per mole of atoms. As for the total moment: 0.000 μB per formula unit. The calculation puts the energy relative to the lowest polymorph listed for this composition at 0.0000 eV/atom. The calculation puts the calculated density at 7396 kg/m³.

Material: La3PmDy4
Method: DFT, PBE
State: optimized geometry

POSCAR file:
```
La3PmDy4
1.0
-1.750 5.925 6.622
1.750 -5.925 6.622
1.750 5.925 -6.622
La Pm Dy
3 1 4
direct
0.000 0.000 0.000 La
0.257 0.757 0.500 La
0.743 0.243 0.500 La
0.500 0.500 0.000 Pm
0.118 0.366 0.753 Dy
0.387 0.634 0.753 Dy
0.613 0.366 0.247 Dy
0.882 0.634 0.247 Dy
```

Properties
For the formation energy, the calculation gives 12.85 kJ per mole of atoms. As for the total moment: 0.000 μB per formula unit. The calculation puts the energy relative to the lowest polymorph listed for this composition at 0.0993 eV/atom. The calculation puts the calculated density at 7328 kg/m³.

Material: La3Pm4Dy3
Method: DFT, PBE
State: optimized geometry

POSCAR file:
```
La3Pm4Dy3
1.0
3.821 0.000 0.000
0.000 6.799 6.763
0.000 -6.799 6.763
La Pm Dy
3 4 3
direct
0.000 0.000 0.000 La
0.500 0.335 0.826 La
0.500 0.826 0.335 La
0.500 0.205 0.205 Pm
0.500 0.456 0.456 Pm
0.500 0.697 0.954 Pm
0.500 0.954 0.697 Pm
0.000 0.160 0.500 Dy
0.000 0.500 0.160 Dy
0.000 0.658 0.658 Dy
```

Properties
For the formation energy, the calculation gives 8.14 kJ per mole of atoms. As for the total moment: 0.000 μB per formula unit. The calculation puts the calculated density at 7013 kg/m³.

Material: LaPm4Dy5
Method: DFT, PBE
State: optimized geometry

POSCAR file:
```
LaPm4Dy5
1.0
3.623 0.000 0.000
0.000 3.623 0.000
0.000 0.000 25.291
La Pm Dy
1 4 5
direct
0.000 0.000 0.000 La
0.000 0.000 0.201 Pm
0.000 0.000 0.400 Pm
0.000 0.000 0.600 Pm
0.000 0.000 0.799 Pm
0.500 0.500 0.102 Dy
0.500 0.500 0.301 Dy
0.500 0.500 0.500 Dy
0.500 0.500 0.699 Dy
0.500 0.500 0.898 Dy
```

Properties
For the formation energy, the calculation gives 1.76 kJ per mole of atoms. As for the total moment: 0.000 μB per formula unit. The calculation puts the calculated density at 7660 kg/m³.